This record from Alexandria via LeMat-Bulk describes a relaxed structure of AcNdPb6. The functional is PBE.

For the volume, the calculation gives 249.68 Å³/cell. The value obtained for the total energy is -4.28 eV/atom. As for the density: 10.7 g/cm3. As for the formation energy from the elements: -0.391 eV per atom. The crystal system is tetragonal. The size of the total moment comes out at 0.00 μB per cell.

The space group is P4/mmm (No. 123) and the conventional cell measures 5.009, 5.009 and 9.953 Å, with angles of 90.00, 90.00 and 90.00 degrees. The distinct sites, in fractional coordinates, are Ac at (0.000, 0.000, 0.000), Nd at (0.000, 0.000, 0.500), Pb at (0.000, 0.500, 0.257), Pb at (0.500, 0.500, 0.000) and Pb at (0.500, 0.500, 0.500).